--- one ---
Entry from Alexandria: a relaxed Co3PtO crystal (PBE with a Hubbard U).

Cell: 3.960 3.960 3.960 Å, 90.00 90.00 90.00°
Space group Pm-3m (No. 221)
Symmetry-distinct sites (fractional):
1 Co 0.000 0.000 0.500 (multiplicity 3)
2 Pt 0.500 0.500 0.500 (multiplicity 1)
3 O 0.000 0.000 0.000 (multiplicity 1)

Total magnetization ... 7.03 μB/f.u.
D(E_F) ... 6.1 states/eV/f.u.

=====

--- two ---
Entry from Alexandria: a relaxed Co3PtO crystal (PBE with a Hubbard U).

Cell: 4.745 4.745 4.745 Å, 90.00 90.00 90.00°
Space group Pm-3m (No. 221)
Symmetry-distinct sites (fractional):
1 Co 0.000 0.000 0.500 (multiplicity 3)
2 Pt 0.000 0.000 0.000 (multiplicity 1)
3 O 0.500 0.500 0.500 (multiplicity 1)

Total magnetization ... 7.83 μB/f.u.
D(E_F) ... 5.6 states/eV/f.u.

=====

It is two that is the least stable of them.